## CsPa4Ag3Se12 (PBE-GGA)

Data for crystalline CsPa4Ag3Se12 at its relaxed geometry.

```
data_CsPa4Ag3Se12
_chemical_formula_sum 'Cs2 Pa8 Ag6 Se24'
_space_group_name_H-M_alt 'I m -3'
_space_group_IT_number 204
_space_group_name_Hall '-I 2 2 3'
_cell_length_a 10.482
_cell_length_b 10.482
_cell_length_c 10.482
_cell_angle_alpha 90.00
_cell_angle_beta 90.00
_cell_angle_gamma 90.00
loop_
_atom_site_label
_atom_site_type_symbol
_atom_site_fract_x
_atom_site_fract_y
_atom_site_fract_z
Cs1 Cs 0.000 0.000 0.000
Pa1 Pa 0.250 0.250 0.250
Ag1 Ag 0.000 0.000 0.500
Se1 Se 0.000 0.181 0.309
```

=====

# Cs2PaAg2Te4 | Alexandria | PBE-GGA | relaxed
data_Cs2PaAg2Te4
_chemical_formula_sum 'Cs4 Pa2 Ag4 Te8'
_space_group_name_H-M_alt 'C 1 2/m 1'
_space_group_IT_number 12
_space_group_name_Hall '-C 2y'
_cell_length_a 16.685
_cell_length_b 4.596
_cell_length_c 9.058
_cell_angle_alpha 90.00
_cell_angle_beta 108.39
_cell_angle_gamma 90.00
loop_
_atom_site_label
_atom_site_type_symbol
_atom_site_fract_x
_atom_site_fract_y
_atom_site_fract_z
Cs1 Cs 0.136 0.000 0.072
Pa1 Pa 0.000 0.000 0.500
Ag1 Ag 0.180 0.500 0.484
Te1 Te 0.013 0.500 0.273
Te2 Te 0.192 0.000 0.678
# Fermi-level density of states: 12.65 states/eV per cell

=====

## Cs2PaAgTe4 (PBE-GGA)

Data for crystalline Cs2PaAgTe4 at its relaxed geometry.

```
data_Cs2PaAgTe4
_chemical_formula_sum 'Cs4 Pa2 Ag2 Te8'
_space_group_name_H-M_alt 'I -4 2 m'
_space_group_IT_number 121
_space_group_name_Hall 'I -4 2'
_cell_length_a 9.373
_cell_length_b 9.373
_cell_length_c 7.564
_cell_angle_alpha 90.00
_cell_angle_beta 90.00
_cell_angle_gamma 90.00
loop_
_atom_site_label
_atom_site_type_symbol
_atom_site_fract_x
_atom_site_fract_y
_atom_site_fract_z
Cs1 Cs 0.000 0.500 0.000
Pa1 Pa 0.000 0.000 0.000
Ag1 Ag 0.000 0.000 0.500
Te1 Te 0.166 0.166 0.750
```

=====

# Cs2PaAg2Te6 | Alexandria | PBE-GGA | relaxed
data_Cs2PaAg2Te6
_chemical_formula_sum 'Cs4 Pa2 Ag4 Te12'
_space_group_name_H-M_alt 'C 1 2/m 1'
_space_group_IT_number 12
_space_group_name_Hall '-C 2y'
_cell_length_a 15.710
_cell_length_b 6.543
_cell_length_c 10.398
_cell_angle_alpha 90.00
_cell_angle_beta 118.50
_cell_angle_gamma 90.00
loop_
_atom_site_label
_atom_site_type_symbol
_atom_site_fract_x
_atom_site_fract_y
_atom_site_fract_z
Cs1 Cs 0.189 0.000 0.185
Pa1 Pa 0.000 0.000 0.500
Ag1 Ag 0.107 0.500 0.352
Te1 Te 0.055 0.250 0.778
Te2 Te 0.204 0.000 0.577
# Fermi-level density of states: 15.46 states/eV per cell

=====

Taking the records one at a time from the top gives total magnetization values of 0.000, 0.111, 0.000, 0.000 μB per atom.
Taking the records one at a time from the top gives formation energy without anion corrections values of -0.995, -0.781, -0.705, -0.545 eV/atom.